# PBE Ho2URu3, optimized geometry
# Formation energy ... -0.11 eV per atom
# Density of states at the Fermi level ... 4.22 states/eV/f.u.
# Polymorph energy (0 for the lowest one) ... 1.761 eV per formula unit
# Total magnetization ... 0.000 μB/f.u.
data_Ho2URu3
_chemical_formula_sum 'Ho4 U2 Ru6'
_cell_length_a 3.320
_cell_length_b 5.545
_cell_length_c 13.589
_cell_angle_alpha 90.00
_cell_angle_beta 90.00
_cell_angle_gamma 90.00
_symmetry_space_group_name_H-M 'I m m m'
_symmetry_Int_Tables_number 71
_symmetry_space_group_name_Hall '-I 2 2'
loop_
_atom_site_label
_atom_site_type_symbol
_atom_site_fract_x
_atom_site_fract_y
_atom_site_fract_z
_atom_site_occupancy
Ho1 Ho 0.000 0.000 0.168 1
U1 U 0.000 0.000 0.500 1
Ru1 Ru 0.000 0.500 0.145 1
Ru2 Ru 0.000 0.500 0.500 1